(1)
The following is a PBE+U calculation of a relaxed MnIn2OsO8 crystal, from Alexandria.

Calculated volume = 300 Å³/cell
DOS(E_F) = 2.930 states/eV/cell
Raw total energy = -6.586 eV/atom

Cell lengths 6.616, 6.987, 6.500 Å; angles 90.00, 90.00, 90.00 degrees
Space group Cmmm (No. 65)
Inequivalent atoms, fractional coordinates:
Mn (0.000, 0.000, 0.000) [2 per cell]
In (0.000, 0.500, 0.244) [4 per cell]
Os (0.000, 0.000, 0.500) [2 per cell]
O (0.000, 0.180, 0.282) [8 per cell]
O (0.211, 0.500, 0.000) [4 per cell]
O (0.212, 0.500, 0.500) [4 per cell]

(2)
The following is a PBE+U calculation of a relaxed MnInOsO6 crystal, from Alexandria.

Calculated volume = 223 Å³/cell
DOS(E_F) = 6.127 states/eV/cell
Raw total energy = -6.873 eV/atom

Cell lengths 5.3526, 5.3526, 8.9763 Å; angles 90.00, 90.00, 120.00 degrees
Space group P-31c (No. 163)
Inequivalent atoms, fractional coordinates:
Mn (0.0000, 0.0000, 0.0000) [2 per cell]
In (0.3333, 0.6667, 0.2500) [2 per cell]
Os (0.3333, 0.6667, 0.7500) [2 per cell]
O (0.0386, 0.3702, 0.6299) [12 per cell]

(3)
The following is a PBE+U calculation of a relaxed MnInPO2 crystal, from Alexandria.

Relative energy among the computed polymorphs = 2.37 eV/f.u.
Calculated volume = 90 Å³/cell
DOS(E_F) = 4.880 states/eV/cell

Cell lengths 4.050, 4.050, 5.461 Å; angles 90.00, 90.00, 90.00 degrees
Space group P4/mmm (No. 123)
Inequivalent atoms, fractional coordinates:
Mn (0.000, 0.000, 0.000) [1 per cell]
In (0.500, 0.500, 0.500) [1 per cell]
P (0.500, 0.500, 0.000) [1 per cell]
O (0.000, 0.500, 0.500) [2 per cell]

(4)
The following is a PBE+U calculation of a relaxed MnInP2O crystal, from Alexandria.

Relative energy among the computed polymorphs = 2.61 eV/f.u.
Calculated volume = 107 Å³/cell
DOS(E_F) = 4.950 states/eV/cell

Cell lengths 5.153, 5.153, 4.015 Å; angles 90.00, 90.00, 90.00 degrees
Space group P4/mmm (No. 123)
Inequivalent atoms, fractional coordinates:
Mn (0.000, 0.000, 0.000) [1 per cell]
In (0.500, 0.500, 0.500) [1 per cell]
P (0.000, 0.500, 0.500) [2 per cell]
O (0.500, 0.500, 0.000) [1 per cell]

(5)
The following is a PBE+U calculation of a relaxed MnInP2O crystal, from Alexandria.

Relative energy among the computed polymorphs = 0.00 eV/f.u.
Calculated volume = 88 Å³/cell
DOS(E_F) = 3.066 states/eV/cell

Cell lengths 4.919, 4.919, 3.630 Å; angles 90.00, 90.00, 90.00 degrees
Space group P4/mmm (No. 123)
Inequivalent atoms, fractional coordinates:
Mn (0.000, 0.000, 0.000) [1 per cell]
In (0.500, 0.500, 0.500) [1 per cell]
P (0.000, 0.500, 0.000) [2 per cell]
O (0.000, 0.000, 0.500) [1 per cell]

(6)
The following is a PBE+U calculation of a relaxed MnInPO2 crystal, from Alexandria.

Relative energy among the computed polymorphs = 0.00 eV/f.u.
Calculated volume = 73 Å³/cell
DOS(E_F) = 2.044 states/eV/cell

Cell lengths 3.793, 3.793, 5.059 Å; angles 90.00, 90.00, 90.00 degrees
Space group P4/mmm (No. 123)
Inequivalent atoms, fractional coordinates:
Mn (0.000, 0.000, 0.000) [1 per cell]
In (0.500, 0.500, 0.500) [1 per cell]
P (0.000, 0.000, 0.500) [1 per cell]
O (0.000, 0.500, 0.000) [2 per cell]

(7)
The following is a PBE+U calculation of a relaxed PaMnIn2O6 crystal, from Alexandria.

Calculated volume = 142 Å³/cell
DOS(E_F) = 3.694 states/eV/cell
Raw total energy = -7.307 eV/atom

Cell lengths 5.703, 5.704, 6.025 Å; angles 90.00, 118.19, 119.98 degrees
Space group P1 (No. 1)
Inequivalent atoms, fractional coordinates:
Pa (0.000, 0.000, 0.000) [1 per cell]
Mn (0.008, 0.504, 0.511) [1 per cell]
In (0.574, 0.787, 0.361) [1 per cell]
In (0.579, 0.290, 0.869) [1 per cell]
O (0.096, 0.704, 0.199) [1 per cell]
O (0.096, 0.895, 0.704) [1 per cell]
O (0.495, 0.392, 0.198) [1 per cell]
O (0.503, 0.608, 0.703) [1 per cell]
O (0.806, 0.104, 0.198) [1 per cell]
O (0.808, 0.200, 0.703) [1 per cell]

(8)
The following is a PBE+U calculation of a relaxed PaMnInO6 crystal, from Alexandria.

Calculated volume = 114 Å³/cell
DOS(E_F) = 0.000 states/eV/cell
Raw total energy = -7.718 eV/atom

Cell lengths 5.2561, 5.2561, 4.7784 Å; angles 90.00, 90.00, 120.00 degrees
Space group P312 (No. 149)
Inequivalent atoms, fractional coordinates:
Pa (0.0000, 0.0000, 0.0000) [1 per cell]
Mn (0.6667, 0.3333, 0.5000) [1 per cell]
In (0.3333, 0.6667, 0.5000) [1 per cell]
O (0.3571, 0.0320, 0.7331) [6 per cell]

(9)
The following is a PBE+U calculation of a relaxed Pa2MnInO8 crystal, from Alexandria.

Calculated volume = 335 Å³/cell
Raw total energy = -8.432 eV/atom

Cell lengths 6.935, 6.789, 7.134 Å; angles 90.00, 93.06, 90.00 degrees
Space group C2/m (No. 12)
Inequivalent atoms, fractional coordinates:
Pa (0.006, 0.000, 0.253) [4 per cell]
Mn (0.000, 0.500, 0.500) [2 per cell]
In (0.000, 0.500, 0.000) [2 per cell]
O (0.000, 0.189, 0.000) [4 per cell]
O (0.000, 0.206, 0.500) [4 per cell]
O (0.182, 0.500, 0.728) [4 per cell]
O (0.207, 0.500, 0.240) [4 per cell]

(10)
The following is a PBE+U calculation of a relaxed PaMnInO5 crystal, from Alexandria.

Calculated volume = 443 Å³/cell
DOS(E_F) = 0.000 states/eV/cell
Raw total energy = -7.844 eV/atom

Cell lengths 6.209, 10.052, 7.132 Å; angles 90.00, 95.77, 90.00 degrees
Space group C2/c (No. 15)
Inequivalent atoms, fractional coordinates:
Pa (0.000, 0.154, 0.250) [4 per cell]
Mn (0.000, 0.189, 0.750) [4 per cell]
In (0.000, 0.500, 0.000) [4 per cell]
O (0.000, 0.378, 0.250) [4 per cell]
O (0.145, 0.102, 0.993) [8 per cell]
O (0.176, 0.340, 0.636) [8 per cell]

(11)
The following is a PBE+U calculation of a relaxed PaMnIn2O8 crystal, from Alexandria.

Calculated volume = 340 Å³/cell
DOS(E_F) = 14.925 states/eV/cell
Raw total energy = -6.795 eV/atom

Cell lengths 6.688, 6.688, 7.591 Å; angles 90.00, 90.00, 90.00 degrees
Space group I-4m2 (No. 119)
Inequivalent atoms, fractional coordinates:
Pa (0.000, 0.000, 0.000) [2 per cell]
Mn (0.000, 0.500, 0.750) [2 per cell]
In (0.000, 0.000, 0.500) [2 per cell]
In (0.000, 0.500, 0.250) [2 per cell]
O (0.000, 0.204, 0.714) [8 per cell]
O (0.000, 0.305, 0.047) [8 per cell]

(12)
The following is a PBE+U calculation of a relaxed MnInPbO4 crystal, from Alexandria.

Calculated volume = 221 Å³/cell
DOS(E_F) = 1.816 states/eV/cell
Raw total energy = -5.992 eV/atom

Cell lengths 5.904, 5.741, 6.896 Å; angles 90.00, 108.87, 90.00 degrees
Space group P2_1/m (No. 11)
Inequivalent atoms, fractional coordinates:
Mn (0.236, 0.250, 0.171) [2 per cell]
In (0.313, 0.750, 0.958) [2 per cell]
Pb (0.210, 0.750, 0.439) [2 per cell]
O (0.009, 0.250, 0.329) [2 per cell]
O (0.023, 0.750, 0.091) [2 per cell]
O (0.475, 0.021, 0.193) [4 per cell]